Record 1
# Cs4Ge2Os, optimized geometry, DFT PBE
data_Cs4Ge2Os
_symmetry_space_group_name_H-M 'I 4/m m m'
_symmetry_Int_Tables_number 139
_symmetry_space_group_name_Hall '-I 4 2'
_cell_length_a 7.394
_cell_length_b 7.394
_cell_length_c 16.033
_cell_angle_alpha 90.00
_cell_angle_beta 90.00
_cell_angle_gamma 90.00
loop_
_atom_site_label
_atom_site_fract_x
_atom_site_fract_y
_atom_site_fract_z
Cs1 0.000 0.000 0.196
Cs2 0.000 0.500 0.000
Ge1 0.000 0.000 0.430
Os1 0.000 0.000 0.000
# magnetic moment	0.000	Bohr magnetons per cell
# electronic total energy	-35.2	eV per cell

=====

Record 2
# CsGe2Os, optimized geometry, DFT PBE
data_CsGe2Os
_symmetry_space_group_name_H-M 'F m -3 m'
_symmetry_Int_Tables_number 225
_symmetry_space_group_name_Hall '-F 4 2 3'
_cell_length_a 7.020
_cell_length_b 7.020
_cell_length_c 7.020
_cell_angle_alpha 90.00
_cell_angle_beta 90.00
_cell_angle_gamma 90.00
loop_
_atom_site_label
_atom_site_fract_x
_atom_site_fract_y
_atom_site_fract_z
Cs1 0.000 0.000 0.000
Ge1 0.250 0.250 0.250
Os1 0.000 0.000 0.500
# E above lowest polymorph	4.906	eV/f.u.
# magnetic moment	1.875	Bohr magnetons per cell
# electronic total energy	-65.4	eV per cell